Entry 1:
DFT (PBE-GGA) results for a relaxed structure of HoBrO.

Cell: 3.8268 3.8268 9.2436 Å, 90.00 90.00 90.00°
With the nearest neighbours (Å) after each atom.
Space group P4/nmm (No. 129, origin choice 2)
Asymmetric unit:
Ho (0.2500, 0.2500, 0.1224) x2  4 O 2.22
Br (0.2500, 0.2500, 0.6959) x2  4 Ho 3.18, 4 O 3.40
O (0.2500, 0.7500, 0.0000) x2  4 Ho 2.22

Values from the calculation:
Spin magnetization, Bohr magnetons per cell: 0.00
Formation energy from raw total energies, eV/atom: -2.94
ρ, g/cm³: 6.4



Entry 2:
DFT (PBE-GGA) results for a relaxed structure of HoBrO.

Cell: 3.8326 4.1641 9.7849 Å, 90.00 90.00 90.00°
With the nearest neighbours (Å) after each atom.
Space group Pmmn (No. 59, origin choice 2)
Asymmetric unit:
Ho (0.2500, 0.2500, 0.1061) x2  4 O 2.23-2.30
Br (0.2500, 0.7500, 0.6812) x2  2 Ho 2.83
O (0.2500, 0.7500, 0.0233) x2  4 Ho 2.23-2.30

Values from the calculation:
Spin magnetization, Bohr magnetons per cell: 0.00
Formation energy from raw total energies, eV/atom: -2.91
ρ, g/cm³: 5.5



Entry 3:
DFT (PBE-GGA) results for a relaxed structure of Ho2Br2O.

Cell: 4.1156 4.1156 13.5729 Å, 90.00 90.00 90.00°
With the nearest neighbours (Å) after each atom.
Space group P4/mmm (No. 123)
Asymmetric unit:
Ho (0.0000, 0.0000, 0.1504) x2  1 O 2.04
Br (0.0000, 0.0000, 0.3422) x2  1 Ho 2.60
O (0.0000, 0.0000, 0.0000) x1  2 Ho 2.04

Values from the calculation:
Spin magnetization, Bohr magnetons per cell: 0.00
Formation energy from raw total energies, eV/atom: -1.18
ρ, g/cm³: 3.7



Entry 4:
DFT (PBE-GGA) results for a relaxed structure of Ho2Br3O.

Cell: 18.7141 3.9198 11.5333 Å, 90.00 126.19 90.00°
With the nearest neighbours (Å) after each atom.
Space group C2/m (No. 12)
Asymmetric unit:
Ho (0.0678, 0.0000, 0.4600) x4  2 O 2.25-2.26
Ho (0.1319, 0.5000, 0.7777) x4  2 O 2.22
Br (0.0303, 0.5000, 0.2416) x4  3 Ho 2.91-2.93
Br (0.1724, 0.0000, 0.0092) x4  3 Ho 2.97-3.03, 1 O 3.25
Br (0.2107, 0.5000, 0.6184) x4  3 Ho 2.93-2.96
O (0.0812, 0.0000, 0.6669) x4  4 Ho 2.22-2.26

Values from the calculation:
Spin magnetization, Bohr magnetons per cell: 0.00
Formation energy from raw total energies, eV/atom: -2.29
ρ, g/cm³: 5.7



Entry 5:
DFT (PBE-GGA) results for a relaxed structure of HoBrO.

Cell: 3.6833 3.6833 5.8263 Å, 90.00 90.00 120.00°
With the nearest neighbours (Å) after each atom.
Space group P3m1 (No. 156)
Asymmetric unit:
Ho (0.0000, 0.0000, 0.0000) x1  3 O 2.20
Br (0.3333, 0.6667, 0.6518) x1  3 Ho 2.94
O (0.6667, 0.3333, 0.0953) x1  3 Ho 2.20

Values from the calculation:
Spin magnetization, Bohr magnetons per cell: 0.00
Formation energy from raw total energies, eV/atom: -2.74
ρ, g/cm³: 6.3



Entry 6:
DFT (PBE-GGA) results for a relaxed structure of HoBrO.

Cell: 3.8313 3.8313 31.9258 Å, 90.00 90.00 120.00°
With the nearest neighbours (Å) after each atom.
Space group R-3m (No. 166, hexagonal axes)
Asymmetric unit:
Ho (0.0000, 0.0000, 0.1224) x6  4 O 2.27-2.28
Br (0.0000, 0.0000, 0.3953) x6  3 Ho 2.94
O (0.0000, 0.0000, 0.1933) x6  4 Ho 2.27-2.28

Values from the calculation:
Spin magnetization, Bohr magnetons per cell: 0.00
Formation energy from raw total energies, eV/atom: -2.94
ρ, g/cm³: 6.4



Entry 7:
DFT (PBE-GGA) results for a relaxed structure of Ho2BrO.

Cell: 3.5704 3.5704 21.5045 Å, 90.00 90.00 120.00°
With the nearest neighbours (Å) after each atom.
Space group R-3m (No. 166, hexagonal axes)
Asymmetric unit:
Ho (0.0000, 0.0000, 0.2248) x6  3 O 2.41
Br (0.0000, 0.0000, 0.0000) x3  6 Ho 3.11
O (0.0000, 0.0000, 0.5000) x3  6 Ho 2.41

Values from the calculation:
Spin magnetization, Bohr magnetons per cell: 0.03
Formation energy from raw total energies, eV/atom: -1.76
ρ, g/cm³: 8.9



Entry 8:
DFT (PBE-GGA) results for a relaxed structure of HoPuBrO4.

Cell: 12.7608 6.8776 6.4716 Å, 90.00 108.15 90.00°
With the nearest neighbours (Å) after each atom.
Space group C2/m (No. 12)
Asymmetric unit:
Ho (0.2409, 0.0000, 0.0962) x4  6 O 2.20-2.39
Pu (0.1164, 0.5000, 0.2318) x4  4 O 1.88-2.05
Br (0.0125, 0.0000, 0.2539) x4  2 Br 3.20-3.30, 2 Ho 3.32-3.37
O (0.0748, 0.5000, 0.9067) x4  1 Pu 2.00
O (0.1562, 0.5000, 0.5363) x4  1 Pu 1.88
O (0.2295, 0.3057, 0.1867) x8  1 Pu 2.05, 1 Ho 2.20

Values from the calculation:
Spin magnetization, Bohr magnetons per cell: 8.97
Formation energy from raw total energies, eV/atom: -2.47
ρ, g/cm³: 6.8



Entry 9:
DFT (PBE-GGA) results for a relaxed structure of HoReBrO4.

Cell: 10.6645 7.0312 6.9751 Å, 90.00 105.49 90.00°
With the nearest neighbours (Å) after each atom.
Space group C2/m (No. 12)
Asymmetric unit:
Ho (0.2263, 0.0000, 0.1018) x4  6 O 2.29-2.42
Re (0.1313, 0.5000, 0.2809) x4  4 O 1.76-1.86
Br (0.0062, 0.0000, 0.7548) x4  2 Ho 2.89-2.91, 1 O 3.16
O (0.0396, 0.5000, 0.7932) x4  1 Re 1.76
O (0.2016, 0.3198, 0.1440) x8  1 Re 1.86
O (0.2052, 0.5000, 0.5380) x4  1 Re 1.76

Values from the calculation:
Spin magnetization, Bohr magnetons per cell: 4.00
Formation energy from raw total energies, eV/atom: -2.07
ρ, g/cm³: 6.5



Entry 10:
DFT (PBE-GGA) results for a relaxed structure of HoSBrO4.

Cell: 9.9357 6.9018 6.4795 Å, 90.00 103.57 90.00°
With the nearest neighbours (Å) after each atom.
Space group C2/m (No. 12)
Asymmetric unit:
Ho (0.2348, 0.0000, 0.1406) x4  6 O 2.33-2.51
S (0.1352, 0.5000, 0.2633) x4  4 O 1.46-1.52
Br (0.0227, 0.0000, 0.7552) x4  2 Ho 2.79-2.87, 2 O 3.07
O (0.0150, 0.5000, 0.7681) x4  1 S 1.46
O (0.1839, 0.3301, 0.1499) x8  1 S 1.52
O (0.2051, 0.5000, 0.4891) x4  1 S 1.47

Values from the calculation:
Spin magnetization, Bohr magnetons per cell: 0.00
Formation energy from raw total energies, eV/atom: -2.04
ρ, g/cm³: 5.2



Entry 11:
DFT (PBE-GGA) results for a relaxed structure of HoSeBrO4.

Cell: 10.2216 7.1034 6.7194 Å, 90.00 104.33 90.00°
With the nearest neighbours (Å) after each atom.
Space group C2/m (No. 12)
Asymmetric unit:
Ho (0.2298, 0.0000, 0.1295) x4  6 O 2.32-2.50
Se (0.1355, 0.5000, 0.2675) x4  4 O 1.64-1.70
Br (0.0182, 0.0000, 0.7566) x4  2 Ho 2.82-2.88, 3 O 3.12-3.16
O (0.0292, 0.5000, 0.7668) x4  1 Se 1.64
O (0.1900, 0.3215, 0.1387) x8  1 Se 1.70
O (0.2159, 0.5000, 0.5120) x4  1 Se 1.64

Values from the calculation:
Spin magnetization, Bohr magnetons per cell: 0.00
Formation energy from raw total energies, eV/atom: -1.60
ρ, g/cm³: 5.4



Entry 12:
DFT (PBE-GGA) results for a relaxed structure of HoTaBrO4.

Cell: 13.0083 6.3333 6.7726 Å, 90.00 106.68 90.00°
With the nearest neighbours (Å) after each atom.
Space group C2/m (No. 12)
Asymmetric unit:
Ho (0.2075, 0.0000, 0.3278) x4  4 O 2.15-2.22
Ta (0.1122, 0.0000, 0.7128) x4  4 O 1.85-1.90
Br (0.0311, 0.5000, 0.1779) x4  1 Br 2.31
O (0.0390, 0.0000, 0.3411) x4  1 Ta 1.90
O (0.1624, 0.0000, 0.9970) x4  1 Ta 1.85
O (0.1826, 0.2290, 0.6258) x8  1 Ta 1.90

Values from the calculation:
Spin magnetization, Bohr magnetons per cell: 0.00
Formation energy from raw total energies, eV/atom: -2.65
ρ, g/cm³: 6.1